(1)
# La2SiHg

An optimized crystal structure of La2SiHg (PBE, the Alexandria database).

Structure (CIF):
```
data_La2SiHg
_space_group_name_H-M_alt 'P 1'
_space_group_IT_number 1
_cell_length_a 4.329
_cell_length_b 4.637
_cell_length_c 6.350
_cell_angle_alpha 90.00
_cell_angle_beta 90.00
_cell_angle_gamma 90.00
loop_
_space_group_symop_operation_xyz
'x,y,z'
loop_
_atom_site_label
_atom_site_type_symbol
_atom_site_fract_x
_atom_site_fract_y
_atom_site_fract_z
La1 La 0.000 0.000 0.000
La2 La 0.500 0.500 0.499
Si1 Si 0.000 0.000 0.500
Hg1 Hg 0.500 0.500 0.999
```

Crystal system ... orthorhombic
E_form (uncorrected) ... -0.315 eV/atom
Spin magnetization ... 0.2 μB per formula unit
E ... -4.210 eV/atom

---

(2)
# CaTb2Tm

An optimized crystal structure of CaTb2Tm (PBE, the Alexandria database).

Structure (CIF):
```
data_CaTb2Tm
_space_group_name_H-M_alt 'P 1'
_space_group_IT_number 1
_cell_length_a 5.726
_cell_length_b 5.726
_cell_length_c 5.726
_cell_angle_alpha 60.00
_cell_angle_beta 60.00
_cell_angle_gamma 60.00
loop_
_space_group_symop_operation_xyz
'x,y,z'
loop_
_atom_site_label
_atom_site_type_symbol
_atom_site_fract_x
_atom_site_fract_y
_atom_site_fract_z
Ca1 Ca 0.000 0.000 0.000
Tb1 Tb 0.250 0.250 0.250
Tb2 Tb 0.750 0.750 0.750
Tm1 Tm 0.500 0.500 0.500
```

Crystal system ... cubic
Energy of formation ... 0.64 eV per formula unit
Spin magnetization ... 0.0 μB per formula unit
E ... -3.774 eV/atom

---

(3)
# KMgCrAs

An optimized crystal structure of KMgCrAs (PBE, the Alexandria database).

Structure (CIF):
```
data_KMgCrAs
_space_group_name_H-M_alt 'P 1'
_space_group_IT_number 1
_cell_length_a 4.692
_cell_length_b 5.394
_cell_length_c 5.394
_cell_angle_alpha 60.33
_cell_angle_beta 90.00
_cell_angle_gamma 90.00
loop_
_space_group_symop_operation_xyz
'x,y,z'
loop_
_atom_site_label
_atom_site_type_symbol
_atom_site_fract_x
_atom_site_fract_y
_atom_site_fract_z
K1 K 0.000 0.000 0.000
Mg1 Mg 0.500 0.334 0.334
Cr1 Cr 0.500 0.666 0.666
As1 As 0.000 0.665 0.665
```

Crystal system ... orthorhombic
Energy of formation ... 0.79 eV per formula unit
Spin magnetization ... 3.4 μB per formula unit
E ... -4.043 eV/atom

---

(4)
# U2Tl3S7

An optimized crystal structure of U2Tl3S7 (PBE, the Alexandria database).

Structure (CIF):
```
data_U2Tl3S7
_space_group_name_H-M_alt 'P 1'
_space_group_IT_number 1
_cell_length_a 12.870
_cell_length_b 12.870
_cell_length_c 5.180
_cell_angle_alpha 90.00
_cell_angle_beta 90.00
_cell_angle_gamma 156.60
loop_
_space_group_symop_operation_xyz
'x,y,z'
loop_
_atom_site_label
_atom_site_type_symbol
_atom_site_fract_x
_atom_site_fract_y
_atom_site_fract_z
U1 U 0.103 0.897 0.000
U2 U 0.897 0.103 0.000
Tl1 Tl 0.311 0.689 0.500
Tl2 Tl 0.500 0.500 0.500
Tl3 Tl 0.689 0.311 0.500
S1 S 0.000 0.000 0.000
S2 S 0.101 0.899 0.500
S3 S 0.200 0.800 0.000
S4 S 0.399 0.601 0.000
S5 S 0.601 0.399 0.000
S6 S 0.800 0.200 0.000
S7 S 0.899 0.101 0.500
```

Crystal system ... orthorhombic
E_form (uncorrected) ... -0.855 eV/atom
Spin magnetization ... 1.0 μB per formula unit
E ... -5.736 eV/atom

---

(5)
# PmEuSc

An optimized crystal structure of PmEuSc (PBE, the Alexandria database).

Structure (CIF):
```
data_PmEuSc
_space_group_name_H-M_alt 'P 1'
_space_group_IT_number 1
_cell_length_a 7.815
_cell_length_b 7.815
_cell_length_c 7.815
_cell_angle_alpha 153.11
_cell_angle_beta 153.11
_cell_angle_gamma 38.39
loop_
_space_group_symop_operation_xyz
'x,y,z'
loop_
_atom_site_label
_atom_site_type_symbol
_atom_site_fract_x
_atom_site_fract_y
_atom_site_fract_z
Pm1 Pm 0.000 0.000 0.000
Eu1 Eu 0.687 0.687 0.000
Sc1 Sc 0.353 0.353 0.000
```

Crystal system ... tetragonal
Energy of formation ... 0.29 eV per formula unit
Spin magnetization ... 7.1 μB per formula unit
E ... -7.021 eV/atom

---

(6)
# ScInFe2

An optimized crystal structure of ScInFe2 (PBE, the Alexandria database).

Structure (CIF):
```
data_ScInFe2
_space_group_name_H-M_alt 'P 1'
_space_group_IT_number 1
_cell_length_a 2.897
_cell_length_b 4.137
_cell_length_c 5.817
_cell_angle_alpha 90.00
_cell_angle_beta 103.13
_cell_angle_gamma 90.00
loop_
_space_group_symop_operation_xyz
'x,y,z'
loop_
_atom_site_label
_atom_site_type_symbol
_atom_site_fract_x
_atom_site_fract_y
_atom_site_fract_z
Sc1 Sc 0.000 0.000 0.000
In1 In 0.000 0.000 0.500
Fe1 Fe 0.479 0.500 0.784
Fe2 Fe 0.521 0.500 0.216
```

Crystal system ... monoclinic
Energy of formation ... 0.61 eV per formula unit
Spin magnetization ... 4.2 μB per formula unit
E ... -6.346 eV/atom

---

(7)
# PrPaMnN4

An optimized crystal structure of PrPaMnN4 (PBE, the Alexandria database).

Structure (CIF):
```
data_PrPaMnN4
_space_group_name_H-M_alt 'P 1'
_space_group_IT_number 1
_cell_length_a 6.834
_cell_length_b 6.834
_cell_length_c 6.834
_cell_angle_alpha 148.46
_cell_angle_beta 148.46
_cell_angle_gamma 45.20
loop_
_space_group_symop_operation_xyz
'x,y,z'
loop_
_atom_site_label
_atom_site_type_symbol
_atom_site_fract_x
_atom_site_fract_y
_atom_site_fract_z
Pr1 Pr 0.000 0.000 0.000
Pa1 Pa 0.716 0.716 0.000
Mn1 Mn 0.344 0.344 0.000
N1 N 0.188 0.188 0.000
N2 N 0.345 0.845 0.500
N3 N 0.545 0.545 0.000
N4 N 0.845 0.345 0.500
```

Crystal system ... tetragonal
E_form (uncorrected) ... -1.066 eV/atom
Spin magnetization ... 0.5 μB per formula unit
E ... -9.173 eV/atom

---

(8)
# KMn2Ag

An optimized crystal structure of KMn2Ag (PBE, the Alexandria database).

Structure (CIF):
```
data_KMn2Ag
_space_group_name_H-M_alt 'P 1'
_space_group_IT_number 1
_cell_length_a 4.960
_cell_length_b 4.960
_cell_length_c 6.966
_cell_angle_alpha 95.08
_cell_angle_beta 95.08
_cell_angle_gamma 35.04
loop_
_space_group_symop_operation_xyz
'x,y,z'
loop_
_atom_site_label
_atom_site_type_symbol
_atom_site_fract_x
_atom_site_fract_y
_atom_site_fract_z
K1 K 0.000 0.000 0.000
Mn1 Mn 0.234 0.234 0.651
Mn2 Mn 0.766 0.766 0.349
Ag1 Ag 0.500 0.500 0.500
```

Crystal system ... monoclinic
Energy of formation ... 2.84 eV per formula unit
Spin magnetization ... 8.3 μB per formula unit
E ... -4.861 eV/atom

---

(9)
# ThCuRh2

An optimized crystal structure of ThCuRh2 (PBE, the Alexandria database).

Structure (CIF):
```
data_ThCuRh2
_space_group_name_H-M_alt 'P 1'
_space_group_IT_number 1
_cell_length_a 4.657
_cell_length_b 4.657
_cell_length_c 4.657
_cell_angle_alpha 60.00
_cell_angle_beta 60.00
_cell_angle_gamma 60.00
loop_
_space_group_symop_operation_xyz
'x,y,z'
loop_
_atom_site_label
_atom_site_type_symbol
_atom_site_fract_x
_atom_site_fract_y
_atom_site_fract_z
Th1 Th 0.000 0.000 0.000
Cu1 Cu 0.500 0.500 0.500
Rh1 Rh 0.250 0.250 0.250
Rh2 Rh 0.750 0.750 0.750
```

Crystal system ... cubic
Energy of formation ... -2.13 eV per formula unit
Spin magnetization ... 0.0 μB per formula unit
E ... -7.087 eV/atom

---

(10)
# KSbPCO7

An optimized crystal structure of KSbPCO7 (PBE, the Alexandria database).

Structure (CIF):
```
data_KSbPCO7
_space_group_name_H-M_alt 'P 1'
_space_group_IT_number 1
_cell_length_a 5.184
_cell_length_b 6.676
_cell_length_c 9.958
_cell_angle_alpha 90.00
_cell_angle_beta 102.21
_cell_angle_gamma 90.00
loop_
_space_group_symop_operation_xyz
'x,y,z'
loop_
_atom_site_label
_atom_site_type_symbol
_atom_site_fract_x
_atom_site_fract_y
_atom_site_fract_z
K1 K 0.057 0.000 0.151
K2 K 0.943 0.500 0.849
Sb1 Sb 0.270 0.937 0.650
Sb2 Sb 0.730 0.437 0.350
P1 P 0.315 0.435 0.573
P2 P 0.685 0.935 0.427
C1 C 0.440 0.932 0.913
C2 C 0.560 0.432 0.087
O1 O 0.143 0.432 0.425
O2 O 0.183 0.930 0.848
O3 O 0.248 0.618 0.657
O4 O 0.250 0.254 0.660
O5 O 0.393 0.936 0.438
O6 O 0.396 0.427 0.173
O7 O 0.489 0.438 0.960
O8 O 0.511 0.938 0.040
O9 O 0.604 0.927 0.827
O10 O 0.607 0.436 0.562
O11 O 0.750 0.754 0.340
O12 O 0.752 0.118 0.343
O13 O 0.817 0.430 0.152
O14 O 0.857 0.932 0.575
```

Crystal system ... monoclinic
E_form (uncorrected) ... -1.704 eV/atom
Spin magnetization ... 0.0 μB per formula unit
E ... -6.665 eV/atom

---

(11)
# Ce2PrHoSe4

An optimized crystal structure of Ce2PrHoSe4 (PBE, the Alexandria database).

Structure (CIF):
```
data_Ce2PrHoSe4
_space_group_name_H-M_alt 'P 1'
_space_group_IT_number 1
_cell_length_a 7.255
_cell_length_b 4.155
_cell_length_c 7.279
_cell_angle_alpha 90.00
_cell_angle_beta 109.11
_cell_angle_gamma 90.00
loop_
_space_group_symop_operation_xyz
'x,y,z'
loop_
_atom_site_label
_atom_site_type_symbol
_atom_site_fract_x
_atom_site_fract_y
_atom_site_fract_z
Ce1 Ce 0.000 0.000 0.000
Ce2 Ce 0.500 0.500 0.000
Pr1 Pr 0.000 0.500 0.500
Ho1 Ho 0.500 0.000 0.500
Se1 Se 0.258 0.000 0.748
Se2 Se 0.262 0.500 0.258
Se3 Se 0.738 0.500 0.742
Se4 Se 0.742 0.000 0.252
```

Crystal system ... monoclinic
E_form (uncorrected) ... -1.804 eV/atom
Spin magnetization ... 2.0 μB per formula unit
E ... -6.199 eV/atom

---

Q: Which value of spin magnetization does entry 2 give?
A: 0.0 μB per formula unit